Record 1
Ca2MgAu | the Alexandria database | SCAN | single point on PBEsol structure; DOS at the Fermi energy = 0.75 states/eV/atom; crystal system = tetragonal; total DFT energy (no corrections) = -95.32 eV per cell
1.0
5.101 0.000 0.000
0.000 5.101 0.000
0.000 0.000 3.897
Ca Mg Au
2 1 1
direct
0.000 0.500 0.000 Ca
0.500 0.000 0.000 Ca
0.000 0.000 0.500 Mg
0.500 0.500 0.500 Au

Record 2
FeCu2Tc | the Alexandria database | SCAN | single point on PBEsol structure; DOS at the Fermi energy = 0.61 states/eV/atom; crystal system = tetragonal; excess energy over the best structure of this formula in the dataset = 0.000 eV per atom
1.0
2.492 0.000 0.000
0.000 2.492 0.000
0.000 0.000 7.738
Fe Cu Tc
1 2 1
direct
0.000 0.000 0.000 Fe
0.500 0.500 0.239 Cu
0.500 0.500 0.761 Cu
0.000 0.000 0.500 Tc

Record 3
Zr2AgPb | the Alexandria database | SCAN | single point on PBEsol structure; DOS at the Fermi energy = 0.78 states/eV/atom; crystal system = tetragonal; total DFT energy (no corrections) = -169.58 eV per cell
1.0
4.404 0.000 0.000
0.000 4.404 0.000
0.000 0.000 4.273
Zr Ag Pb
2 1 1
direct
0.000 0.500 0.000 Zr
0.500 0.000 0.000 Zr
0.000 0.000 0.500 Ag
0.500 0.500 0.500 Pb